No. 1
Below is a geometry-optimized CdRuPt2 structure, with properties calculated at the PBE level.

**DFT total energy**: -5.543 eV/atom
**E_form**: 9.8 kJ/mol of formula units

a b c (Å): 2.825 2.825 8.114
angles (deg): 90.00 90.00 90.00
Fractional coordinates of all 4 atoms:
Cd 0.500 0.500 0.746
Pt 0.000 0.000 0.012
Pt 0.500 0.500 0.261
Ru 0.000 0.000 0.481


No. 2
Below is a geometry-optimized CdRuPt structure, with properties calculated at the PBE level.

**DFT total energy**: -5.218 eV/atom
**E_form**: 55.7 kJ/mol of formula units
**Offset from the most stable computed form**: 0.120 eV/atom

a b c (Å): 5.043 5.043 5.043
angles (deg): 147.68 133.27 57.96
Each line ends with the local moment (μB).
Fractional coordinates of all 3 atoms:
Cd 0.000 0.000 0.000  -0.01
Pt 0.324 0.324 0.000  0.22
Ru 0.676 0.676 0.000  0.96


No. 3
Below is a geometry-optimized Cd3RuPt12 structure, with properties calculated at the PBE level.

**DFT total energy**: -5.420 eV/atom
**E_form**: -213.2 kJ/mol of formula units

a b c (Å): 3.998 3.998 16.174
angles (deg): 90.00 90.00 90.00
Fractional coordinates of all 16 atoms:
Cd 0.000 0.000 0.247
Cd 0.000 0.000 0.500
Cd 0.000 0.000 0.753
Ru 0.000 0.000 0.000
Pt 0.500 0.500 0.000
Pt 0.500 0.500 0.247
Pt 0.500 0.500 0.500
Pt 0.500 0.500 0.753
Pt 0.500 0.000 0.118
Pt 0.500 0.000 0.373
Pt 0.500 0.000 0.627
Pt 0.500 0.000 0.882
Pt 0.000 0.500 0.118
Pt 0.000 0.500 0.373
Pt 0.000 0.500 0.627
Pt 0.000 0.500 0.882


No. 4
Below is a geometry-optimized CdRu2Pt structure, with properties calculated at the PBE level.

**DFT total energy**: -6.093 eV/atom
**E_form**: 109.6 kJ/mol of formula units

a b c (Å): 2.756 3.916 5.906
angles (deg): 90.00 90.00 90.00
Fractional coordinates of all 4 atoms:
Cd 0.500 0.500 0.250
Pt 0.500 0.500 0.750
Ru 0.000 0.000 0.972
Ru 0.000 0.000 0.528


No. 5
Below is a geometry-optimized CdRuPt2 structure, with properties calculated at the PBE level.

**DFT total energy**: -5.653 eV/atom
**E_form**: -32.9 kJ/mol of formula units

a b c (Å): 2.820 2.820 8.106
angles (deg): 90.00 90.00 90.00
Fractional coordinates of all 4 atoms:
Ru 0.500 0.500 0.250
Pt 0.000 0.000 0.020
Pt 0.000 0.000 0.480
Cd 0.500 0.500 0.750


No. 6
Below is a geometry-optimized CdRu2Pt structure, with properties calculated at the PBE level.

**DFT total energy**: -6.274 eV/atom
**E_form**: 39.9 kJ/mol of formula units

a b c (Å): 2.809 3.812 5.921
angles (deg): 90.00 90.00 90.00
Fractional coordinates of all 4 atoms:
Cd 0.000 0.000 0.502
Pt 0.500 0.500 0.763
Ru 0.000 0.000 0.022
Ru 0.500 0.500 0.214


No. 7
Below is a geometry-optimized CdRu2Pt structure, with properties calculated at the PBE level.

**DFT total energy**: -6.083 eV/atom
**E_form**: 113.5 kJ/mol of formula units

a b c (Å): 5.538 5.538 5.538
angles (deg): 150.62 129.01 59.95
Fractional coordinates of all 4 atoms:
Cd 0.504 0.504 0.000
Pt 0.237 0.737 0.500
Ru 0.989 0.989 0.000
Ru 0.770 0.270 0.500


No. 8
Below is a geometry-optimized CdRu2Pt structure, with properties calculated at the PBE level.

**DFT total energy**: -6.057 eV/atom
**E_form**: 123.4 kJ/mol of formula units

a b c (Å): 4.993 4.993 2.757
angles (deg): 90.00 90.00 113.58
Each line ends with the local moment (μB).
Fractional coordinates of all 4 atoms:
Cd 0.500 0.000 0.500  0.00
Pt 0.000 0.500 0.500  0.06
Ru 0.000 0.000 0.000  0.74
Ru 0.500 0.500 0.000  0.74


No. 9
Below is a geometry-optimized CdRu3Pt structure, with properties calculated at the PBE level.

**DFT total energy**: -5.268 eV/atom
**E_form**: 814.8 kJ/mol of formula units
**Offset from the most stable computed form**: 0.000 eV/atom

a b c (Å): 4.819 4.819 4.819
angles (deg): 90.00 90.00 90.00
Each line ends with the local moment (μB).
Fractional coordinates of all 5 atoms:
Ru 0.000 0.500 0.000  1.64
Ru 0.000 0.000 0.500  2.15
Ru 0.500 0.000 0.000  1.13
Pt 0.000 0.000 0.000  0.52
Cd 0.500 0.500 0.500  -0.01


No. 10
Below is a geometry-optimized CdRuPt6 structure, with properties calculated at the PBE level.

**DFT total energy**: -5.880 eV/atom
**E_form**: -58.1 kJ/mol of formula units

a b c (Å): 3.976 3.976 8.041
angles (deg): 90.00 90.00 90.00
Each line ends with the local moment (μB).
Fractional coordinates of all 8 atoms:
Cd 0.000 0.000 0.000  0.00
Ru 0.000 0.000 0.500  0.73
Pt 0.500 0.500 0.000  0.07
Pt 0.500 0.500 0.500  0.11
Pt 0.500 0.000 0.261  0.10
Pt 0.500 0.000 0.739  0.10
Pt 0.000 0.500 0.261  0.10
Pt 0.000 0.500 0.739  0.10


No. 11
Below is a geometry-optimized CdRuPt structure, with properties calculated at the PBE level.

**DFT total energy**: -5.203 eV/atom
**E_form**: 60.2 kJ/mol of formula units
**Offset from the most stable computed form**: 0.135 eV/atom

a b c (Å): 4.565 4.565 2.785
angles (deg): 90.00 90.00 120.00
Each line ends with the local moment (μB).
Fractional coordinates of all 3 atoms:
Cd 0.000 0.000 0.000  0.00
Pt 0.667 0.333 0.500  0.13
Ru 0.333 0.667 0.500  0.87


No. 12
Below is a geometry-optimized CdRuPt2 structure, with properties calculated at the PBE level.

**DFT total energy**: -5.473 eV/atom
**E_form**: 36.6 kJ/mol of formula units

a b c (Å): 5.653 5.653 5.653
angles (deg): 151.44 129.68 58.88
Each line ends with the local moment (μB).
Fractional coordinates of all 4 atoms:
Cd 0.252 0.752 0.500  0.00
Pt 0.988 0.988 0.000  0.01
Pt 0.744 0.244 0.500  0.02
Ru 0.516 0.516 0.000  0.10


No. 13
Below is a geometry-optimized CdRu2Pt structure, with properties calculated at the PBE level.

**DFT total energy**: -5.973 eV/atom
**E_form**: 156.0 kJ/mol of formula units

a b c (Å): 4.503 4.503 4.503
angles (deg): 60.00 60.00 60.00
Each line ends with the local moment (μB).
Fractional coordinates of all 4 atoms:
Cd 0.500 0.500 0.500  0.01
Pt 0.750 0.750 0.750  0.28
Ru 0.000 0.000 0.000  1.48
Ru 0.250 0.250 0.250  1.00


No. 14
Below is a geometry-optimized CdRu2Pt structure, with properties calculated at the PBE level.

**DFT total energy**: -6.360 eV/atom
**E_form**: 6.5 kJ/mol of formula units

a b c (Å): 2.807 2.807 8.010
angles (deg): 90.00 90.00 90.00
Fractional coordinates of all 4 atoms:
Cd 0.000 0.000 0.495
Pt 0.500 0.500 0.768
Ru 0.000 0.000 0.015
Ru 0.500 0.500 0.222


No. 15
Below is a geometry-optimized CdRu2Pt structure, with properties calculated at the PBE level.

**DFT total energy**: -6.117 eV/atom
**E_form**: 100.5 kJ/mol of formula units

a b c (Å): 9.391 9.391 9.391
angles (deg): 17.13 17.13 17.13
Fractional coordinates of all 4 atoms:
Cd 0.250 0.250 0.250
Pt 0.750 0.750 0.750
Ru 0.004 0.004 0.004
Ru 0.496 0.496 0.496


No. 16
Below is a geometry-optimized CdRuPt structure, with properties calculated at the PBE level.

**DFT total energy**: -5.338 eV/atom
**E_form**: 21.0 kJ/mol of formula units
**Offset from the most stable computed form**: 0.000 eV/atom

a b c (Å): 6.482 6.482 2.827
angles (deg): 77.40 77.40 25.19
Each line ends with the local moment (μB).
Fractional coordinates of all 3 atoms:
Cd 0.002 0.002 0.998  0.00
Pt 0.322 0.322 0.678  0.05
Ru 0.676 0.676 0.324  0.27


No. 17
Below is a geometry-optimized CdRu2Pt structure, with properties calculated at the PBE level.

**DFT total energy**: -6.146 eV/atom
**E_form**: 89.2 kJ/mol of formula units

a b c (Å): 4.327 2.784 5.477
angles (deg): 75.17 90.00 90.00
Fractional coordinates of all 4 atoms:
Cd 0.000 0.442 0.490
Pt 0.500 0.805 0.767
Ru 0.000 0.184 0.008
Ru 0.500 0.070 0.236


No. 18
Below is a geometry-optimized CdRu2Pt structure, with properties calculated at the PBE level.

**DFT total energy**: -6.208 eV/atom
**E_form**: 65.2 kJ/mol of formula units

a b c (Å): 4.825 4.825 4.957
angles (deg): 80.90 80.90 33.54
Each line ends with the local moment (μB).
Fractional coordinates of all 4 atoms:
Cd 0.500 0.500 0.488  0.00
Pt 0.256 0.256 0.252  0.01
Ru 0.004 0.004 0.974  0.30
Ru 0.741 0.741 0.786  0.00


No. 19
Below is a geometry-optimized ScCdRuPt structure, with properties calculated at the PBE level.

**DFT total energy**: -6.091 eV/atom
**E_form**: -173.6 kJ/mol of formula units

a b c (Å): 4.590 4.590 4.590
angles (deg): 60.00 60.00 60.00
Fractional coordinates of all 4 atoms:
Sc 0.000 0.000 0.000
Ru 0.750 0.750 0.750
Pt 0.250 0.250 0.250
Cd 0.500 0.500 0.500


No. 20
Below is a geometry-optimized CdSiRu2Pt structure, with properties calculated at the PBE level.

**DFT total energy**: -4.622 eV/atom
**Formation energy from raw total energies**: 7.8 eV per formula unit

a b c (Å): 4.767 5.015 4.767
angles (deg): 90.00 90.00 90.00
Each line ends with the local moment (μB).
Fractional coordinates of all 5 atoms:
Ru 0.000 0.000 0.500  0.07
Ru 0.500 0.000 0.000  0.05
Si 0.500 0.500 0.500  0.00
Pt 0.000 0.000 0.000  0.01
Cd 0.000 0.500 0.000  0.00


No. 21
Below is a geometry-optimized Tb4CdRu2Pt structure, with properties calculated at the PBE level.

**DFT total energy**: -6.039 eV/atom
**E_form**: -413.5 kJ/mol of formula units

a b c (Å): 4.961 4.961 8.634
angles (deg): 73.30 73.30 60.00
Fractional coordinates of all 8 atoms:
Tb 0.380 0.380 0.861
Tb 0.872 0.872 0.385
Tb 0.128 0.128 0.615
Tb 0.620 0.620 0.139
Cd 0.000 0.000 0.000
Ru 0.749 0.749 0.754
Ru 0.251 0.251 0.246
Pt 0.500 0.500 0.500


No. 22
Below is a geometry-optimized CdTcRuPt2 structure, with properties calculated at the PBE level.

**DFT total energy**: -4.960 eV/atom
**E_form**: 756.5 kJ/mol of formula units

a b c (Å): 4.739 5.078 4.739
angles (deg): 90.00 90.00 90.00
Each line ends with the local moment (μB).
Fractional coordinates of all 5 atoms:
Ru 0.500 0.500 0.500  2.46
Tc 0.000 0.000 0.000  0.19
Pt 0.000 0.000 0.500  0.01
Pt 0.500 0.000 0.000  0.04
Cd 0.000 0.500 0.000  -0.01


No. 23
Below is a geometry-optimized ThCdRuPt structure, with properties calculated at the PBE level.

**DFT total energy**: -6.342 eV/atom
**E_form**: -165.6 kJ/mol of formula units

a b c (Å): 4.860 4.860 4.860
angles (deg): 60.00 60.00 60.00
Fractional coordinates of all 4 atoms:
Ru 0.250 0.250 0.250
Pt 0.750 0.750 0.750
Th 0.000 0.000 0.000
Cd 0.500 0.500 0.500


No. 24
Below is a geometry-optimized Tm4CdRu2Pt structure, with properties calculated at the PBE level.

**DFT total energy**: -6.045 eV/atom
**E_form**: -479.5 kJ/mol of formula units

a b c (Å): 4.874 4.874 8.474
angles (deg): 73.29 73.29 60.00
Fractional coordinates of all 8 atoms:
Tm 0.379 0.379 0.862
Tm 0.872 0.872 0.385
Tm 0.128 0.128 0.615
Tm 0.621 0.621 0.138
Cd 0.000 0.000 0.000
Ru 0.749 0.749 0.754
Ru 0.251 0.251 0.246
Pt 0.500 0.500 0.500


No. 25
Below is a geometry-optimized Tm5Cd2Ru2Pt structure, with properties calculated at the PBE level.

**DFT total energy**: -5.361 eV/atom
**E_form**: -465.9 kJ/mol of formula units

a b c (Å): 3.441 11.593 11.593
angles (deg): 90.00 90.00 90.00
Fractional coordinates of all 20 atoms:
Tm 0.500 0.197 0.068
Tm 0.500 0.803 0.932
Tm 0.500 0.068 0.803
Tm 0.500 0.697 0.432
Tm 0.500 0.932 0.197
Tm 0.500 0.303 0.568
Tm 0.500 0.568 0.697
Tm 0.500 0.432 0.303
Tm 0.500 0.500 0.000
Tm 0.500 0.000 0.500
Cd 0.000 0.679 0.179
Cd 0.000 0.321 0.821
Cd 0.000 0.179 0.321
Cd 0.000 0.821 0.679
Ru 0.000 0.134 0.634
Ru 0.000 0.866 0.366
Ru 0.000 0.634 0.866
Ru 0.000 0.366 0.134
Pt 0.000 0.000 0.000
Pt 0.000 0.500 0.500


No. 26
Below is a geometry-optimized CdRu2PtW structure, with properties calculated at the PBE level.

**DFT total energy**: -5.863 eV/atom
**E_form**: 882.3 kJ/mol of formula units

a b c (Å): 4.871 4.726 4.871
angles (deg): 90.00 90.00 90.00
Each line ends with the local moment (μB).
Fractional coordinates of all 5 atoms:
Ru 0.000 0.000 0.500  1.82
Ru 0.500 0.000 0.000  1.21
W 0.000 0.500 0.000  0.52
Pt 0.000 0.000 0.000  0.25
Cd 0.500 0.500 0.500  -0.01


No. 27
Below is a geometry-optimized Zn2CdRuPt structure, with properties calculated at the PBE level.

**DFT total energy**: -2.395 eV/atom
**E_form**: 656.7 kJ/mol of formula units

a b c (Å): 4.678 4.678 4.974
angles (deg): 90.00 90.00 90.00
Each line ends with the local moment (μB).
Fractional coordinates of all 5 atoms:
Ru 0.000 0.000 0.500  1.50
Zn 0.000 0.500 0.000  0.00
Zn 0.500 0.000 0.000  0.00
Pt 0.500 0.500 0.500  0.03
Cd 0.000 0.000 0.000  -0.02


No. 28
Below is a geometry-optimized Cd3PtS structure, with properties calculated at the PBE level.

**DFT total energy**: -2.368 eV/atom
**Formation energy from raw total energies**: 1.1 eV per formula unit
**Offset from the most stable computed form**: 0.000 eV/atom

a b c (Å): 5.173 5.173 5.173
angles (deg): 90.00 90.00 90.00
Fractional coordinates of all 5 atoms:
S 0.500 0.500 0.500
Pt 0.000 0.000 0.000
Cd 0.000 0.500 0.000
Cd 0.000 0.000 0.500
Cd 0.500 0.000 0.000